No. 1
Material: Zn2TcW
Method: DFT, PBE
State: relaxed

The value obtained for the total energy is -6.21 eV per atom. The value obtained for the density of states at the Fermi level is 0.77 states/eV/atom. The crystal system is tetragonal. For the magnetization, the calculation gives 0.00 μB per formula unit. The value obtained for the energy of formation is 0.255 eV per atom. The excess energy over the best structure of this formula in the dataset is 158 meV/atom.

The structure belongs to space group P4/mmm (No. 123); the cell edges are 3.7361, 3.7361 and 4.2330 Å and the angles 90.00°, 90.00° and 90.00°. The inequivalent atoms are Zn at (0.0000, 0.5000, 0.0000), Tc at (0.0000, 0.0000, 0.5000) and W at (0.5000, 0.5000, 0.5000).


No. 2
Material: ZnTcW2
Method: DFT, PBE
State: relaxed

The value obtained for the total energy is -9.16 eV per atom. The value obtained for the density of states at the Fermi level is 0.76 states/eV/atom. The crystal system is monoclinic. For the magnetization, the calculation gives 0.00 μB per formula unit. The value obtained for the energy of formation is 0.228 eV per atom.

The structure belongs to space group C2/m (No. 12); the cell edges are 5.4030, 8.8097 and 2.7014 Å and the angles 90.00°, 107.58° and 90.00°. The inequivalent atoms are Zn at (0.0000, 0.0000, 0.0000), Tc at (0.0000, 0.5000, 0.0000) and W at (0.2500, 0.2500, 0.5000).


No. 3
Material: ZnTcW2
Method: DFT, PBE
State: relaxed

The value obtained for the total energy is -9.15 eV per atom. The value obtained for the density of states at the Fermi level is 0.54 states/eV/atom. The crystal system is tetragonal. For the magnetization, the calculation gives 0.00 μB per formula unit. The value obtained for the energy of formation is 0.233 eV per atom.

The structure belongs to space group P4/mmm (No. 123); the cell edges are 3.8892, 3.8892 and 4.0053 Å and the angles 90.00°, 90.00° and 90.00°. The inequivalent atoms are Zn at (0.0000, 0.0000, 0.0000), Tc at (0.5000, 0.5000, 0.0000) and W at (0.0000, 0.5000, 0.5000).


No. 4
Material: ZnTcW2
Method: DFT, PBE
State: relaxed

The value obtained for the total energy is -9.18 eV per atom. The value obtained for the density of states at the Fermi level is 0.72 states/eV/atom. The crystal system is monoclinic. For the magnetization, the calculation gives 0.00 μB per formula unit. The value obtained for the energy of formation is 0.208 eV per atom.

The structure belongs to space group Cm (No. 8); the cell edges are 9.8582, 3.1502 and 4.4184 Å and the angles 90.00°, 116.45° and 90.00°. The inequivalent atoms are Zn at (0.0000, 0.0000, 0.0000), Tc at (0.2565, 0.5000, 0.2554), W at (0.2370, 0.0000, 0.7366) and W at (0.4954, 0.0000, 0.4953).


No. 5
Material: Zn4TcW2
Method: DFT, PBE
State: relaxed

The value obtained for the total energy is -4.70 eV per atom. The value obtained for the density of states at the Fermi level is 0.81 states/eV/atom. The crystal system is tetragonal. For the magnetization, the calculation gives 0.00 μB per formula unit. The value obtained for the energy of formation is 1.211 eV per atom.

The structure belongs to space group I4/mmm (No. 139); the cell edges are 4.8145, 4.8145 and 12.5922 Å and the angles 90.00°, 90.00° and 90.00°. The inequivalent atoms are Zn at (0.0000, 0.0000, 0.1978), Zn at (0.0000, 0.5000, 0.0000), Tc at (0.0000, 0.0000, 0.0000) and W at (0.0000, 0.0000, 0.4105).


No. 6
Material: Zn2TcW
Method: DFT, PBE
State: relaxed

The value obtained for the total energy is -6.20 eV per atom. The value obtained for the density of states at the Fermi level is 0.75 states/eV/atom. The crystal system is orthorhombic. For the magnetization, the calculation gives 0.00 μB per formula unit. The value obtained for the energy of formation is 0.271 eV per atom. The excess energy over the best structure of this formula in the dataset is 174 meV/atom.

The structure belongs to space group Cmmm (No. 65); the cell edges are 5.2147, 8.4815 and 2.6763 Å and the angles 90.00°, 90.00° and 90.00°. The inequivalent atoms are Zn at (0.2500, 0.2500, 0.0000), Tc at (0.0000, 0.0000, 0.5000) and W at (0.0000, 0.5000, 0.5000).


What is the formula in the third record?
ZnTcW2


Which value of energy of formation does entry 4 give?
0.208 eV per atom


What is the formula in the third record?
ZnTcW2